Compound: Cr3WCl2O6
Source: the Alexandria database
Functional: GGA+U
Structure: relaxed

The density is 5.30 Mg/m³. The value obtained for the total energy is -0.251 hartree per atom. The calculation puts the magnetic moment at 20.0 μB per cell.

It has space group C2/m (No. 12), with a = 10.772 Å, b = 5.950 Å, c = 5.032 Å, α = 90.00°, β = 100.15° and γ = 90.00°. The distinct sites, in fractional coordinates, are Cr at (0.000, 0.000, 0.000), Cr at (0.250, 0.250, 0.500), W at (0.000, 0.500, 0.500), Cl at (0.192, 0.000, 0.821), O at (0.069, 0.253, 0.280) and O at (0.181, 0.500, 0.676).